PmTmGaCo | PBE | relaxed

a = 4.9584 Å, b = 4.9584 Å, c = 4.9584 Å
α = 60.00°, β = 60.00°, γ = 60.00°
Each line ends with the local moment (μB).
Sites, in units of the cell vectors:
Pm 0.5000 0.5000 0.5000  -0.07
Tm 0.0000 0.0000 0.0000  -0.11
Co 0.7500 0.7500 0.7500  1.22
Ga 0.2500 0.2500 0.2500  0.05

Summary:
* total magnetization: 1.062 Bohr magnetons per cell
* electronic total energy: -5.122 eV per atom
* crystal system: cubic
* SG: F-43m, No. 216
* volume: 86.2 Å³ per cell